Here is an optimized crystal structure of U2TeS from the Alexandria database. Energies are from PBE.

a = 3.632 Å, b = 3.632 Å, c = 6.793 Å
α = 90.00°, β = 90.00°, γ = 90.00°
Sites, in units of the cell vectors:
U 0.000 0.000 0.181
U 0.000 0.000 0.819
Te 0.500 0.500 0.500
S 0.500 0.500 0.000

Output
The value obtained for the excess energy over the best structure of this formula in the dataset is 314 meV/atom. As for the uncorrected formation energy: -2.31 eV/f.u. Its energy is -0.59076 Ry per atom.



Here is an optimized crystal structure of Nd8Te4AuS3 from the Alexandria database. Energies are from PBE.

a = 8.755 Å, b = 8.755 Å, c = 8.755 Å
α = 58.41°, β = 58.41°, γ = 58.41°
Sites, in units of the cell vectors:
Nd 0.232 0.744 0.744
Nd 0.236 0.236 0.236
Nd 0.256 0.256 0.768
Nd 0.256 0.768 0.256
Nd 0.744 0.232 0.744
Nd 0.744 0.744 0.232
Nd 0.764 0.764 0.764
Nd 0.768 0.256 0.256
Te 0.000 0.000 0.000
Te 0.000 0.500 0.500
Te 0.500 0.000 0.500
Te 0.500 0.500 0.000
Au 0.500 0.500 0.500
S 0.000 0.000 0.500
S 0.000 0.500 0.000
S 0.500 0.000 0.000

Output
As for the uncorrected formation energy: -25.13 eV/f.u. Its energy is -0.42033 Ry per atom.



Here is an optimized crystal structure of Ho2ThTc2 from the Alexandria database. Energies are from PBE.

a = 5.658 Å, b = 4.153 Å, c = 11.089 Å
α = 90.00°, β = 95.13°, γ = 90.00°
Sites, in units of the cell vectors:
Ho 0.087 0.250 0.381
Ho 0.247 0.250 0.034
Ho 0.753 0.750 0.966
Ho 0.913 0.750 0.619
Th 0.413 0.250 0.735
Th 0.587 0.750 0.265
Tc 0.236 0.750 0.848
Tc 0.420 0.750 0.540
Tc 0.580 0.250 0.460
Tc 0.764 0.250 0.152

Output
The formation energy comes out at 0.04 eV per atom. Its energy is -0.54558 Ry per atom.



Here is an optimized crystal structure of La3RhN from the Alexandria database. Energies are from PBE.

a = 4.990 Å, b = 4.990 Å, c = 4.990 Å
α = 90.00°, β = 90.00°, γ = 90.00°
Sites, in units of the cell vectors:
La 0.000 0.000 0.500
La 0.000 0.500 0.000
La 0.500 0.000 0.000
Rh 0.500 0.500 0.500
N 0.000 0.000 0.000

Output
The value obtained for the excess energy over the best structure of this formula in the dataset is 0 meV/atom. As for the uncorrected formation energy: -3.20 eV/f.u. Its energy is -0.49479 Ry per atom.